[1]
PBE-GGA ScZnFe2, optimized geometry; energy of formation = 0.107 eV per atom; size of the total moment = 3.99 μB per formula unit
1.0
2.7350 0.0000 0.0000
0.0000 4.3229 0.0000
-0.6714 0.0000 4.9553
Sc Zn Fe
1 1 2
Direct
0.0000 0.0000 0.0000
0.5000 0.0000 0.5000
0.3254 0.5000 0.7514
0.6746 0.5000 0.2486

---

[2]
PBE-GGA NaBeI2O, optimized geometry; formation energy without anion corrections = 0.549 eV/atom; excess energy over the best structure of this formula in the dataset = 1571 meV/atom; size of the total moment = 1.54 μB per formula unit
1.0
5.7885 0.0000 0.0000
0.0000 5.7885 0.0000
0.0000 0.0000 4.2386
Na Be I O
1 1 2 1
Direct
0.0000 0.0000 0.0000
0.5000 0.5000 0.5000
0.0000 0.5000 0.0000
0.5000 0.0000 0.0000
0.0000 0.0000 0.5000

---

[3]
PBE-GGA Sc2TaMoSe, optimized geometry; formation energy without anion corrections = 0.425 eV/atom; size of the total moment = 0.00 μB per formula unit
1.0
4.8318 0.0000 0.0000
0.0000 4.8318 0.0000
0.0000 0.0000 4.6563
Sc Ta Mo Se
2 1 1 1
Direct
0.0000 0.5000 0.0000
0.5000 0.0000 0.0000
0.0000 0.0000 0.5000
0.5000 0.5000 0.5000
0.5000 0.5000 0.0000

---

[4]
PBE-GGA Tl2PbI, optimized geometry; formation energy without anion corrections = 0.034 eV/atom; excess energy over the best structure of this formula in the dataset = 188 meV/atom; size of the total moment = 0.00 μB per formula unit
1.0
1.8919 1.0923 11.9626
-1.8919 1.0923 11.9626
0.0000 -2.1846 11.9626
Tl Pb I
2 1 1
Direct
0.0959 0.0959 0.0959
0.9041 0.9041 0.9041
0.0000 0.0000 0.0000
0.5000 0.5000 0.5000

---

[5]
PBE-GGA Pm5GaPb3, optimized geometry; energy of formation = -0.586 eV per atom; size of the total moment = 0.11 μB per formula unit
1.0
9.5940 0.0000 0.0000
-4.7970 8.3087 0.0000
0.0000 0.0000 6.7147
Pm Ga Pb
10 2 6
Direct
0.0000 0.2590 0.2500
0.0000 0.7410 0.7500
0.2590 0.0000 0.2500
0.2590 0.2590 0.7500
0.3333 0.6667 0.0000
0.3333 0.6667 0.5000
0.6667 0.3333 0.0000
0.6667 0.3333 0.5000
0.7410 0.0000 0.7500
0.7410 0.7410 0.2500
0.0000 0.0000 0.0000
0.0000 0.0000 0.5000
0.0000 0.3842 0.7500
0.0000 0.6158 0.2500
0.3842 0.0000 0.7500
0.3842 0.3842 0.2500
0.6158 0.0000 0.2500
0.6158 0.6158 0.7500

---

[6]
PBE-GGA Cr2Ni5Pd, optimized geometry; energy of formation = 0.099 eV per atom; size of the total moment = 0.00 μB per formula unit
1.0
-1.2602 3.9136 4.7380
1.2602 -3.9136 4.7380
1.2602 3.9136 -4.7380
Cr Ni Pd
2 5 1
Direct
0.2468 0.2468 0.0000
0.7532 0.7532 0.0000
0.1395 0.8670 0.2725
0.4055 0.1330 0.2725
0.5000 0.5000 0.0000
0.5945 0.8670 0.7275
0.8605 0.1330 0.7275
0.0000 0.5000 0.5000